# Sn2SN, optimized geometry, DFT PBE
# - raw total energy (Ry/atom) = -0.322
# - polymorph energy (0 for the lowest one) (eV per atom) = 0.526
# - crystal system = cubic
# - formation energy from raw total energies (meV/atom) = 732.8
data_Sn2SN
_chemical_formula_sum 'Sn8 S4 N4'
_space_group_name_H-M_alt 'F m -3 m'
_space_group_IT_number 225
_space_group_name_Hall '-F 4 2 3'
_cell_length_a 6.626
_cell_length_b 6.626
_cell_length_c 6.626
_cell_angle_alpha 90.00
_cell_angle_beta 90.00
_cell_angle_gamma 90.00
loop_
_atom_site_label
_atom_site_type_symbol
_atom_site_fract_x
_atom_site_fract_y
_atom_site_fract_z
Sn1 Sn 0.250 0.250 0.250
S1 S 0.000 0.000 0.000
N1 N 0.000 0.000 0.500